# Th2SbTe, optimized geometry, DFT PBE-GGA
data_Th2SbTe
_chemical_formula_sum 'Th2 Sb1 Te1'
_symmetry_space_group_name_H-M 'P 4/m m m'
_symmetry_Int_Tables_number 123
_symmetry_space_group_name_Hall '-P 4 2'
_cell_length_a 3.854
_cell_length_b 3.854
_cell_length_c 7.715
_cell_angle_alpha 90.00
_cell_angle_beta 90.00
_cell_angle_gamma 90.00
loop_
_atom_site_label
_atom_site_type_symbol
_atom_site_fract_x
_atom_site_fract_y
_atom_site_fract_z
Th1 Th 0.000 0.000 0.244
Sb1 Sb 0.500 0.500 0.000
Te1 Te 0.500 0.500 0.500
# Crystal system ... tetragonal
# Calculated total energy ... -6.51 eV per atom
# Formation energy without anion corrections ... -0.986 eV/atom


# RbIn4Hg3, optimized geometry, DFT PBE-GGA
data_RbIn4Hg3
_chemical_formula_sum 'Rb1 In4 Hg3'
_symmetry_space_group_name_H-M 'P 4/m m m'
_symmetry_Int_Tables_number 123
_symmetry_space_group_name_Hall '-P 4 2'
_cell_length_a 5.048
_cell_length_b 5.048
_cell_length_c 9.674
_cell_angle_alpha 90.00
_cell_angle_beta 90.00
_cell_angle_gamma 90.00
loop_
_atom_site_label
_atom_site_type_symbol
_atom_site_fract_x
_atom_site_fract_y
_atom_site_fract_z
Rb1 Rb 0.000 0.000 0.000
In1 In 0.000 0.500 0.327
Hg1 Hg 0.000 0.000 0.500
Hg2 Hg 0.500 0.500 0.151
# Energy relative to the elements ... -0.0944 eV/atom
# Crystal system ... tetragonal
# Calculated total energy ... -1.70 eV per atom


# KNa2Se2, optimized geometry, DFT PBE-GGA
data_KNa2Se2
_chemical_formula_sum 'K2 Na4 Se4'
_symmetry_space_group_name_H-M 'I 4/m m m'
_symmetry_Int_Tables_number 139
_symmetry_space_group_name_Hall '-I 4 2'
_cell_length_a 4.783
_cell_length_b 4.783
_cell_length_c 12.680
_cell_angle_alpha 90.00
_cell_angle_beta 90.00
_cell_angle_gamma 90.00
loop_
_atom_site_label
_atom_site_type_symbol
_atom_site_fract_x
_atom_site_fract_y
_atom_site_fract_z
K1 K 0.000 0.000 0.000
Na1 Na 0.000 0.500 0.250
Se1 Se 0.000 0.000 0.381
# Crystal system ... tetragonal
# Calculated total energy ... -3.00 eV per atom
# Formation energy without anion corrections ... -0.859 eV/atom


These records have magnetic moment values of 0.00; 0.00; 1.74 Bohr magnetons per cell, in the order they appear.